PmPrAuBr: optimized geometry, PBE.

Cell lengths 5.297, 5.297, 5.297 Å; angles 60.00, 60.00, 60.00 degrees
Element x y z (fractional)
Pm 0.000 0.000 0.000
Au 0.750 0.750 0.750
Pr 0.500 0.500 0.500
Br 0.250 0.250 0.250

Summary:
- space-group type = F-43m
- calculated volume (Å³/f.u.) = 105.12
- D(E_F) (states/eV per atom) = 1.33
- VASP energy (eV/cell) = -17.56
- E_form (uncorrected) (eV/atom) = -0.77